A geometry-optimized Rb2HIBr6 structure, computed with PBE.

VASP energy in eV/atom: -2.435

The structure in CIF format:
```
data_Rb2HIBr6
_cell_length_a 8.377
_cell_length_b 8.377
_cell_length_c 10.741
_cell_angle_alpha 90.00
_cell_angle_beta 90.00
_cell_angle_gamma 90.00
_symmetry_space_group_name_H-M 'I 4/m m m'
_symmetry_Int_Tables_number 139
_symmetry_space_group_name_Hall '-I 4 2'
loop_
_atom_site_label
_atom_site_fract_x
_atom_site_fract_y
_atom_site_fract_z
Rb1 0.000 0.500 0.250
H1 0.000 0.000 0.000
I1 0.000 0.000 0.500
Br1 0.000 0.000 0.160
Br2 0.229 0.229 0.500
```

***

A geometry-optimized La2ScAs4Rh3 structure, computed with PBE.

Formation energy from the elements in eV/atom: -1.0613

The structure in CIF format:
```
data_La2ScAs4Rh3
_cell_length_a 4.334
_cell_length_b 4.334
_cell_length_c 10.630
_cell_angle_alpha 90.00
_cell_angle_beta 90.00
_cell_angle_gamma 90.00
_symmetry_space_group_name_H-M 'P -4 m 2'
_symmetry_Int_Tables_number 115
_symmetry_space_group_name_Hall 'P -4 -2'
loop_
_atom_site_label
_atom_site_fract_x
_atom_site_fract_y
_atom_site_fract_z
La1 0.000 0.500 0.230
Sc1 0.000 0.000 0.500
As1 0.000 0.000 0.000
As2 0.000 0.500 0.649
As3 0.500 0.500 0.000
Rh1 0.000 0.500 0.886
Rh2 0.500 0.500 0.500
```

***

A geometry-optimized BaSrLaBiO6 structure, computed with PBE.

Distance to the lowest polymorph of the same formula in eV per formula unit: 1.119
Uncorrected formation energy in eV per formula unit: -22.59

The structure in CIF format:
```
data_BaSrLaBiO6
_cell_length_a 6.155
_cell_length_b 6.155
_cell_length_c 8.926
_cell_angle_alpha 90.00
_cell_angle_beta 90.00
_cell_angle_gamma 90.00
_symmetry_space_group_name_H-M 'P -4 n 2'
_symmetry_Int_Tables_number 118
_symmetry_space_group_name_Hall 'P -4 -2n'
loop_
_atom_site_label
_atom_site_fract_x
_atom_site_fract_y
_atom_site_fract_z
Ba1 0.000 0.500 0.250
Sr1 0.000 0.000 0.500
La1 0.000 0.500 0.750
Bi1 0.000 0.000 0.000
O1 0.000 0.000 0.237
O2 0.146 0.314 0.973
```

***

A geometry-optimized Y4MgAg5 structure, computed with PBE.

Formation energy from the elements in eV/atom: -0.3022

The structure in CIF format:
```
data_Y4MgAg5
_cell_length_a 3.574
_cell_length_b 3.574
_cell_length_c 18.152
_cell_angle_alpha 90.00
_cell_angle_beta 90.00
_cell_angle_gamma 90.00
_symmetry_space_group_name_H-M 'P 4/m m m'
_symmetry_Int_Tables_number 123
_symmetry_space_group_name_Hall '-P 4 2'
loop_
_atom_site_label
_atom_site_fract_x
_atom_site_fract_y
_atom_site_fract_z
Y1 0.000 0.000 0.103
Y2 0.000 0.000 0.309
Mg1 0.000 0.000 0.500
Ag1 0.500 0.500 0.000
Ag2 0.500 0.500 0.207
Ag3 0.500 0.500 0.413
```

***

A geometry-optimized Pm6PrNd2Dy3 structure, computed with PBE.

Formation energy from the elements in eV/atom: 0.0154

The structure in CIF format:
```
data_Pm6PrNd2Dy3
_cell_length_a 6.301
_cell_length_b 10.914
_cell_length_c 12.034
_cell_angle_alpha 90.00
_cell_angle_beta 100.06
_cell_angle_gamma 90.00
_symmetry_space_group_name_H-M 'C 1 2/m 1'
_symmetry_Int_Tables_number 12
_symmetry_space_group_name_Hall '-C 2y'
loop_
_atom_site_label
_atom_site_fract_x
_atom_site_fract_y
_atom_site_fract_z
Pm1 0.248 0.167 0.246
Pm2 0.249 0.500 0.246
Pr1 0.000 0.500 0.500
Nd1 0.000 0.167 0.500
Dy1 0.000 0.000 0.000
Dy2 0.000 0.333 0.000
```

***

A geometry-optimized Sr7Au2N2 structure, computed with PBE.

Uncorrected formation energy in eV per formula unit: -5.09

The structure in CIF format:
```
data_Sr7Au2N2
_cell_length_a 8.692
_cell_length_b 12.978
_cell_length_c 7.493
_cell_angle_alpha 90.00
_cell_angle_beta 100.06
_cell_angle_gamma 90.00
_symmetry_space_group_name_H-M 'C 1 2/m 1'
_symmetry_Int_Tables_number 12
_symmetry_space_group_name_Hall '-C 2y'
loop_
_atom_site_label
_atom_site_fract_x
_atom_site_fract_y
_atom_site_fract_z
Sr1 0.000 0.000 0.000
Sr2 0.077 0.500 0.800
Sr3 0.226 0.162 0.730
Au1 0.000 0.324 0.500
N1 0.231 0.500 0.106
```

***

A geometry-optimized Rb2TlCd3Pb4 structure, computed with PBE.

Formation energy from the elements in eV/atom: -0.0842

The structure in CIF format:
```
data_Rb2TlCd3Pb4
_cell_length_a 5.123
_cell_length_b 5.123
_cell_length_c 13.118
_cell_angle_alpha 90.00
_cell_angle_beta 90.00
_cell_angle_gamma 90.00
_symmetry_space_group_name_H-M 'P -4 m 2'
_symmetry_Int_Tables_number 115
_symmetry_space_group_name_Hall 'P -4 -2'
loop_
_atom_site_label
_atom_site_fract_x
_atom_site_fract_y
_atom_site_fract_z
Rb1 0.000 0.500 0.248
Tl1 0.500 0.500 0.000
Cd1 0.000 0.000 0.000
Cd2 0.000 0.500 0.636
Pb1 0.000 0.000 0.500
Pb2 0.000 0.500 0.863
Pb3 0.500 0.500 0.500
```

***

A geometry-optimized LaHoPu2 structure, computed with PBE.

Formation energy from the elements in eV/atom: 0.2070
Distance to the lowest polymorph of the same formula in eV per formula unit: 0.034

The structure in CIF format:
```
data_LaHoPu2
_cell_length_a 4.907
_cell_length_b 4.907
_cell_length_c 4.972
_cell_angle_alpha 90.00
_cell_angle_beta 90.00
_cell_angle_gamma 90.00
_symmetry_space_group_name_H-M 'P 4/m m m'
_symmetry_Int_Tables_number 123
_symmetry_space_group_name_Hall '-P 4 2'
loop_
_atom_site_label
_atom_site_fract_x
_atom_site_fract_y
_atom_site_fract_z
La1 0.000 0.000 0.000
Ho1 0.500 0.500 0.000
Pu1 0.000 0.500 0.500
```

***

A geometry-optimized KCa6 structure, computed with PBE.

Formation energy from the elements in eV/atom: 0.8104

The structure in CIF format:
```
data_KCa6
_cell_length_a 10.110
_cell_length_b 10.110
_cell_length_c 10.110
_cell_angle_alpha 90.00
_cell_angle_beta 90.00
_cell_angle_gamma 90.00
_symmetry_space_group_name_H-M 'I m -3 m'
_symmetry_Int_Tables_number 229
_symmetry_space_group_name_Hall '-I 4 2 3'
loop_
_atom_site_label
_atom_site_fract_x
_atom_site_fract_y
_atom_site_fract_z
K1 0.000 0.000 0.000
Ca1 0.000 0.250 0.500
```

***

A geometry-optimized Dy3Pd8 structure, computed with PBE.

Formation energy from the elements in eV/atom: -0.4272

The structure in CIF format:
```
data_Dy3Pd8
_cell_length_a 9.2930
_cell_length_b 9.2930
_cell_length_c 9.2686
_cell_angle_alpha 90.00
_cell_angle_beta 90.00
_cell_angle_gamma 120.00
_symmetry_space_group_name_H-M 'R -3'
_symmetry_Int_Tables_number 148
_symmetry_space_group_name_Hall '-R 3'
loop_
_atom_site_label
_atom_site_fract_x
_atom_site_fract_y
_atom_site_fract_z
Dy1 0.0000 0.5000 0.0000
Pd1 0.0000 0.0000 0.3597
Pd2 0.0467 0.8484 0.8859
```

***

A geometry-optimized CaDyTl structure, computed with PBE.

Formation energy from the elements in eV/atom: -0.1996
Distance to the lowest polymorph of the same formula in eV per formula unit: 0.363

The structure in CIF format:
```
data_CaDyTl
_cell_length_a 3.573
_cell_length_b 3.573
_cell_length_c 29.988
_cell_angle_alpha 90.00
_cell_angle_beta 90.00
_cell_angle_gamma 90.00
_symmetry_space_group_name_H-M 'I 4/m m m'
_symmetry_Int_Tables_number 139
_symmetry_space_group_name_Hall '-I 4 2'
loop_
_atom_site_label
_atom_site_fract_x
_atom_site_fract_y
_atom_site_fract_z
Ca1 0.000 0.000 0.062
Dy1 0.000 0.000 0.208
Tl1 0.000 0.000 0.365
```

***

A geometry-optimized RhW2Se structure, computed with PBE.

Uncorrected formation energy in eV per formula unit: 2.48

The structure in CIF format:
```
data_RhW2Se
_cell_length_a 6.363
_cell_length_b 6.363
_cell_length_c 6.363
_cell_angle_alpha 90.00
_cell_angle_beta 90.00
_cell_angle_gamma 90.00
_symmetry_space_group_name_H-M 'F -4 3 m'
_symmetry_Int_Tables_number 216
_symmetry_space_group_name_Hall 'F -4 2 3'
loop_
_atom_site_label
_atom_site_fract_x
_atom_site_fract_y
_atom_site_fract_z
Rh1 0.000 0.000 0.000
W1 0.000 0.000 0.500
W2 0.250 0.250 0.750
Se1 0.250 0.250 0.250
```